Material: Ho2MgTl3S6
Method: DFT, PBE-GGA
State: relaxed

Values from the calculation:
Formation energy (no corrections), eV/atom: -1.210
Volume, A^3/atom: 24.842
Electronic total energy, eV/atom: -4.7610
Crystal system: monoclinic

Cell and atoms, written as CIF:
```
data_Ho2MgTl3S6
_chemical_formula_sum 'Ho4 Mg2 Tl6 S12'
_cell_length_a 6.8978
_cell_length_b 11.9459
_cell_length_c 7.5924
_cell_angle_alpha 90.00
_cell_angle_beta 107.64
_cell_angle_gamma 90.00
_symmetry_space_group_name_H-M 'C 1 2/m 1'
_symmetry_Int_Tables_number 12
_symmetry_space_group_name_Hall '-C 2y'
loop_
_atom_site_label
_atom_site_fract_x
_atom_site_fract_y
_atom_site_fract_z
_atom_site_occupancy
Ho1 0.0000 0.1665 0.0000 1
Mg1 0.0000 0.5000 0.0000 1
Tl1 0.0000 0.0000 0.5000 1
Tl2 0.0000 0.3328 0.5000 1
S1 0.2302 0.3364 0.1997 1
S2 0.2396 0.0000 0.2007 1
```


Material: Ac2LaTb2
Method: DFT, PBE-GGA
State: relaxed

Values from the calculation:
Volume, A^3/atom: 38.198
Formation energy, eV/atom: 0.083
Electronic total energy, eV/atom: -4.3978
Crystal system: monoclinic

Cell and atoms, written as CIF:
```
data_Ac2LaTb2
_chemical_formula_sum 'Ac8 La4 Tb8'
_cell_length_a 17.9267
_cell_length_b 6.8061
_cell_length_c 6.5669
_cell_angle_alpha 90.00
_cell_angle_beta 107.54
_cell_angle_gamma 90.00
_symmetry_space_group_name_H-M 'C 1 2/c 1'
_symmetry_Int_Tables_number 15
_symmetry_space_group_name_Hall '-C 2yc'
loop_
_atom_site_label
_atom_site_fract_x
_atom_site_fract_y
_atom_site_fract_z
_atom_site_occupancy
Ac1 0.1932 0.1497 0.1958 1
La1 0.0000 0.0795 0.2500 1
Tb1 0.0871 0.3828 0.6604 1
```


Q: What is the formula in the second record?
A: Ac2LaTb2


Q: Which formula does entry 1 have?
A: Ho2MgTl3S6


What did the second record say?
Material: Ac2LaTb2
Method: DFT, PBE-GGA
State: relaxed

Values from the calculation:
Volume, A^3/atom: 38.198
Formation energy, eV/atom: 0.083
Electronic total energy, eV/atom: -4.3978
Crystal system: monoclinic

Cell and atoms, written as CIF:
```
data_Ac2LaTb2
_chemical_formula_sum 'Ac8 La4 Tb8'
_cell_length_a 17.9267
_cell_length_b 6.8061
_cell_length_c 6.5669
_cell_angle_alpha 90.00
_cell_angle_beta 107.54
_cell_angle_gamma 90.00
_symmetry_space_group_name_H-M 'C 1 2/c 1'
_symmetry_Int_Tables_number 15
_symmetry_space_group_name_Hall '-C 2yc'
loop_
_atom_site_label
_atom_site_fract_x
_atom_site_fract_y
_atom_site_fract_z
_atom_site_occupancy
Ac1 0.1932 0.1497 0.1958 1
La1 0.0000 0.0795 0.2500 1
Tb1 0.0871 0.3828 0.6604 1
```